Tm2BeSi after structural relaxation, computed with PBE.

Results
- N(E_F) (states/eV/cell) = 2.49
- distance to the lowest polymorph of the same formula (kJ per mole of atoms) = 95.44
- formation energy (no corrections) (eV/atom) = 0.52

Cell and atoms, written as CIF:
```
data_Tm2BeSi
_cell_length_a 3.430
_cell_length_b 3.430
_cell_length_c 9.901
_cell_angle_alpha 80.02
_cell_angle_beta 80.02
_cell_angle_gamma 60.00
_symmetry_space_group_name_H-M 'P 1'
_symmetry_Int_Tables_number 1
loop_
_symmetry_equiv_pos_as_xyz
'x,y,z'
loop_
_atom_site_label
_atom_site_type_symbol
_atom_site_fract_x
_atom_site_fract_y
_atom_site_fract_z
Be1 Be 0.000 0.000 0.000
Si1 Si 0.500 0.500 0.500
Tm1 Tm 0.098 0.098 0.707
Tm2 Tm 0.902 0.902 0.293
```



Sr3Si after structural relaxation, computed with PBE.

Results
- N(E_F) (states/eV/cell) = 4.69
- distance to the lowest polymorph of the same formula (kJ per mole of atoms) = 29.37
- formation energy (no corrections) (eV/atom) = 0.13

Cell and atoms, written as CIF:
```
data_Sr3Si
_cell_length_a 5.854
_cell_length_b 5.854
_cell_length_c 5.854
_cell_angle_alpha 60.00
_cell_angle_beta 60.00
_cell_angle_gamma 60.00
_symmetry_space_group_name_H-M 'P 1'
_symmetry_Int_Tables_number 1
loop_
_symmetry_equiv_pos_as_xyz
'x,y,z'
loop_
_atom_site_label
_atom_site_type_symbol
_atom_site_fract_x
_atom_site_fract_y
_atom_site_fract_z
Si1 Si 0.000 0.000 0.000
Sr1 Sr 0.250 0.250 0.250
Sr2 Sr 0.500 0.500 0.500
Sr3 Sr 0.750 0.750 0.750
```



NaZnNi4 after structural relaxation, computed with PBE.

Results
- N(E_F) (states/eV/cell) = 4.39
- total DFT energy (no corrections) (eV per formula unit) = -24.97

Cell and atoms, written as CIF:
```
data_NaZnNi4
_cell_length_a 4.816
_cell_length_b 4.816
_cell_length_c 4.816
_cell_angle_alpha 60.00
_cell_angle_beta 60.00
_cell_angle_gamma 60.00
_symmetry_space_group_name_H-M 'P 1'
_symmetry_Int_Tables_number 1
loop_
_symmetry_equiv_pos_as_xyz
'x,y,z'
loop_
_atom_site_label
_atom_site_type_symbol
_atom_site_fract_x
_atom_site_fract_y
_atom_site_fract_z
Ni1 Ni 0.625 0.625 0.124
Ni2 Ni 0.625 0.124 0.625
Ni3 Ni 0.625 0.625 0.625
Ni4 Ni 0.124 0.625 0.625
Zn1 Zn 0.000 0.000 0.000
Na1 Na 0.250 0.250 0.250
```



NaSr3Ir after structural relaxation, computed with PBE.

Results
- N(E_F) (states/eV/cell) = 12.54
- distance to the lowest polymorph of the same formula (kJ per mole of atoms) = 72.38

Cell and atoms, written as CIF:
```
data_NaSr3Ir
_cell_length_a 14.218
_cell_length_b 14.218
_cell_length_c 5.885
_cell_angle_alpha 90.00
_cell_angle_beta 90.00
_cell_angle_gamma 148.88
_symmetry_space_group_name_H-M 'P 1'
_symmetry_Int_Tables_number 1
loop_
_symmetry_equiv_pos_as_xyz
'x,y,z'
loop_
_atom_site_label
_atom_site_type_symbol
_atom_site_fract_x
_atom_site_fract_y
_atom_site_fract_z
Sr1 Sr 0.563 0.973 0.250
Sr2 Sr 0.027 0.437 0.250
Sr3 Sr 0.973 0.563 0.750
Sr4 Sr 0.437 0.027 0.750
Sr5 Sr 0.000 0.000 0.000
Sr6 Sr 0.000 0.000 0.500
Ir1 Ir 0.225 0.775 0.250
Ir2 Ir 0.775 0.225 0.750
Na1 Na 0.123 0.877 0.250
Na2 Na 0.877 0.123 0.750
```